The following is a DFT calculation (PBE) of a geometry-optimized Tm3SeS3 structure.

Properties
N(E_F) in states/eV/cell: 4.35
Formation energy (no corrections) in eV per atom: -1.903
Electronic total energy in eV per atom: -6.09
M_tot in μB per atom: 0.00

CIF file:
```
data_Tm3SeS3
_chemical_formula_sum 'Tm6 Se2 S6'
_space_group_name_H-M_alt 'P 1'
_space_group_IT_number 1
_cell_length_a 7.220
_cell_length_b 7.220
_cell_length_c 7.220
_cell_angle_alpha 69.27
_cell_angle_beta 69.27
_cell_angle_gamma 69.27
loop_
_space_group_symop_operation_xyz
'x,y,z'
loop_
_atom_site_label
_atom_site_fract_x
_atom_site_fract_y
_atom_site_fract_z
Tm1 0.053 0.784 0.423
Tm2 0.216 0.577 0.947
Tm3 0.423 0.053 0.784
Tm4 0.577 0.947 0.216
Tm5 0.784 0.423 0.053
Tm6 0.947 0.216 0.577
Se1 0.170 0.170 0.170
Se2 0.830 0.830 0.830
S1 0.129 0.403 0.697
S2 0.303 0.871 0.597
S3 0.403 0.697 0.129
S4 0.597 0.303 0.871
S5 0.697 0.129 0.403
S6 0.871 0.597 0.303
```